(1)
Below is crystalline Ac12Pr6Ho at its relaxed geometry, with properties calculated at the PBE level.

Total magnetization ... 0.00 μB per formula unit
ΔH_f (0 K) ... 0.034 eV per atom
Crystal system ... trigonal
VASP energy ... -4.31 eV per atom

abc: 10.268 10.268 10.268
angles: 110.84 110.84 110.84
Element x y z (fractional)
Ac1 0.065 0.584 0.376
Ac2 0.102 0.154 0.738
Ac3 0.154 0.738 0.102
Ac4 0.262 0.898 0.846
Ac5 0.376 0.065 0.584
Ac6 0.416 0.624 0.935
Ac7 0.584 0.376 0.065
Ac8 0.624 0.935 0.416
Ac9 0.738 0.102 0.154
Ac10 0.846 0.262 0.898
Ac11 0.898 0.846 0.262
Ac12 0.935 0.416 0.624
Pr1 0.214 0.316 0.467
Pr2 0.316 0.467 0.214
Pr3 0.467 0.214 0.316
Pr4 0.533 0.786 0.684
Pr5 0.684 0.533 0.786
Pr6 0.786 0.684 0.533
Ho1 0.000 0.000 0.000

---

(2)
Below is crystalline AcPr12Ho3 at its relaxed geometry, with properties calculated at the PBE level.

Total magnetization ... 0.00 μB per formula unit
ΔH_f (0 K) ... 0.018 eV per atom
Crystal system ... tetragonal
VASP energy ... -4.68 eV per atom

abc: 5.226 5.226 20.890
angles: 90.00 90.00 90.00
Element x y z (fractional)
Ac1 0.000 0.000 0.000
Pr1 0.000 0.500 0.131
Pr2 0.000 0.500 0.377
Pr3 0.000 0.500 0.623
Pr4 0.000 0.500 0.869
Pr5 0.500 0.000 0.131
Pr6 0.500 0.000 0.377
Pr7 0.500 0.000 0.623
Pr8 0.500 0.000 0.869
Pr9 0.500 0.500 0.000
Pr10 0.500 0.500 0.255
Pr11 0.500 0.500 0.500
Pr12 0.500 0.500 0.745
Ho1 0.000 0.000 0.254
Ho2 0.000 0.000 0.500
Ho3 0.000 0.000 0.746

---

(3)
Below is crystalline Ac3Pr3Ho at its relaxed geometry, with properties calculated at the PBE level.

Total magnetization ... 0.00 μB per formula unit
ΔH_f (0 K) ... 0.177 eV per atom
Crystal system ... orthorhombic
VASP energy ... -4.29 eV per atom

abc: 13.995 5.676 14.171
angles: 90.00 90.00 90.00
Element x y z (fractional)
Ac1 0.091 0.250 0.061
Ac2 0.095 0.250 0.558
Ac3 0.186 0.750 0.361
Ac4 0.314 0.250 0.861
Ac5 0.405 0.750 0.058
Ac6 0.409 0.750 0.561
Ac7 0.591 0.250 0.439
Ac8 0.595 0.250 0.942
Ac9 0.686 0.750 0.139
Ac10 0.814 0.250 0.639
Ac11 0.905 0.750 0.442
Ac12 0.909 0.750 0.939
Pr1 0.034 0.250 0.313
Pr2 0.163 0.750 0.935
Pr3 0.208 0.750 0.700
Pr4 0.292 0.250 0.200
Pr5 0.337 0.250 0.435
Pr6 0.466 0.750 0.813
Pr7 0.534 0.250 0.187
Pr8 0.663 0.750 0.565
Pr9 0.708 0.750 0.800
Pr10 0.792 0.250 0.300
Pr11 0.837 0.250 0.065
Pr12 0.966 0.750 0.687
Ho1 0.046 0.250 0.813
Ho2 0.454 0.750 0.313
Ho3 0.546 0.250 0.687
Ho4 0.954 0.750 0.187

---

(4)
Below is crystalline AcPr3Ho at its relaxed geometry, with properties calculated at the PBE level.

Total magnetization ... 0.00 μB per formula unit
Relative energy among the computed polymorphs ... 0.0 meV per atom
ΔH_f (0 K) ... 0.083 eV per atom
Crystal system ... monoclinic
VASP energy ... -4.52 eV per atom

abc: 6.372 7.059 17.458
angles: 90.00 109.31 90.00
Element x y z (fractional)
Ac1 0.048 0.065 0.342
Ac2 0.048 0.435 0.842
Ac3 0.952 0.565 0.158
Ac4 0.952 0.935 0.658
Pr1 0.217 0.553 0.370
Pr2 0.217 0.947 0.870
Pr3 0.219 0.165 0.057
Pr4 0.219 0.335 0.557
Pr5 0.362 0.660 0.049
Pr6 0.362 0.840 0.549
Pr7 0.638 0.160 0.451
Pr8 0.638 0.340 0.951
Pr9 0.781 0.665 0.443
Pr10 0.781 0.835 0.943
Pr11 0.783 0.053 0.130
Pr12 0.783 0.447 0.630
Ho1 0.456 0.629 0.746
Ho2 0.456 0.871 0.246
Ho3 0.544 0.129 0.754
Ho4 0.544 0.371 0.254

---

(5)
Below is crystalline Ac4Pr11Ho9 at its relaxed geometry, with properties calculated at the PBE level.

Total magnetization ... 0.00 μB per formula unit
ΔH_f (0 K) ... 0.074 eV per atom
Crystal system ... orthorhombic
VASP energy ... -4.52 eV per atom

abc: 15.266 15.266 3.673
angles: 90.00 90.00 92.39
Element x y z (fractional)
Ac1 0.050 0.222 0.000
Ac2 0.222 0.050 0.000
Ac3 0.778 0.950 0.000
Ac4 0.950 0.778 0.000
Pr1 0.088 0.427 0.500
Pr2 0.162 0.838 0.500
Pr3 0.266 0.266 0.500
Pr4 0.331 0.669 0.500
Pr5 0.427 0.088 0.500
Pr6 0.500 0.500 0.500
Pr7 0.573 0.912 0.500
Pr8 0.669 0.331 0.500
Pr9 0.734 0.734 0.500
Pr10 0.838 0.162 0.500
Pr11 0.912 0.573 0.500
Ho1 0.000 0.000 0.000
Ho2 0.127 0.628 0.000
Ho3 0.295 0.468 0.000
Ho4 0.372 0.873 0.000
Ho5 0.468 0.295 0.000
Ho6 0.532 0.705 0.000
Ho7 0.628 0.127 0.000
Ho8 0.705 0.532 0.000
Ho9 0.873 0.372 0.000

---

(6)
Below is crystalline AcPr4Ho2 at its relaxed geometry, with properties calculated at the PBE level.

Total magnetization ... 0.00 μB per formula unit
Relative energy among the computed polymorphs ... 111.5 meV per atom
ΔH_f (0 K) ... 0.231 eV per atom
Crystal system ... monoclinic
VASP energy ... -4.39 eV per atom

abc: 12.262 6.587 6.451
angles: 90.00 98.78 90.00
Element x y z (fractional)
Ac1 0.000 0.000 0.000
Ac2 0.500 0.500 0.000
Pr1 0.161 0.000 0.507
Pr2 0.250 0.250 0.000
Pr3 0.250 0.750 0.000
Pr4 0.339 0.500 0.493
Pr5 0.661 0.500 0.507
Pr6 0.750 0.250 0.000
Pr7 0.750 0.750 0.000
Pr8 0.839 0.000 0.493
Ho1 0.040 0.500 0.264
Ho2 0.460 0.000 0.736
Ho3 0.540 0.000 0.264
Ho4 0.960 0.500 0.736